A geometry-optimized Tb2PmZn structure, computed with PBE.

abc: 4.7887 4.7845 4.7845
angles: 90.00 90.00 90.00
Atoms (fractional coordinates):
1 Zn 0.5000 0.0000 0.0000
2 Tb 0.0000 0.0000 0.5000
3 Tb 0.0000 0.5000 0.0000
4 Pm 0.5000 0.5000 0.5000

## Properties
Total energy: -15.42 eV per cell
Fermi-level density of states: 5.5 states/eV per cell
DFT formation energy: -0.033 eV/atom
Space-group type: P4/mmm